{"formula": "Sm2BeBr", "functional": "PBE", "state": "optimized geometry", "total_magnetization_mub_per_cell": 0.00, "n_ef_per_ev_atom": 0.990, "space_group": "R-3m, No. 166", "e_form_raw_ev_per_atom": -0.490, "cell": [[3.9783, 0.0000, 0.0000], [1.9891, 3.4453, 0.0000], [1.9891, 1.1484, 7.5789]], "species": ["Br", "Sm", "Sm", "Be"], "fractional_positions": [[0.5000, 0.5000, 0.5000], [0.7389, 0.7389, 0.7834], [0.2611, 0.2611, 0.2166], [0.0000, 0.0000, 0.0000]]}